1.
# MgFeMo2

MgFeMo2 after structural relaxation (PBE-GGA, Alexandria via LeMat-Bulk). Values from VASP.

## Properties
DFT formation energy = 0.229 eV per atom
crystal system = orthorhombic
space group = Immm, No. 71

The structure in Quantum ESPRESSO input format:
```
&SYSTEM
  ibrav = 0, nat = 4, ntyp = 3
/
ATOMIC_SPECIES
Mg 24.30 Mg.upf
Mo 95.94 Mo.upf
Fe 55.84 Fe.upf
CELL_PARAMETERS angstrom
5.190 -0.003 0.002
4.295 2.914 0.002
1.816 0.557 3.902
ATOMIC_POSITIONS crystal
Mg 0.250 0.250 0.250
Mo 0.482 0.482 0.518
Fe 0.750 0.750 0.750
Mo 0.018 0.018 0.982
```


2.
# Tb2Pr3Er6Pb

Tb2Pr3Er6Pb after structural relaxation (PBE-GGA, Alexandria via LeMat-Bulk). Values from VASP.

## Properties
DFT formation energy = -0.050 eV per atom
crystal system = monoclinic
space group = C2/m, No. 12

The structure in Quantum ESPRESSO input format:
```
&SYSTEM
  ibrav = 0, nat = 12, ntyp = 4
/
ATOMIC_SPECIES
Tb 158.93 Tb.upf
Er 167.26 Er.upf
Pr 140.91 Pr.upf
Pb 207.20 Pb.upf
CELL_PARAMETERS angstrom
-5.546 1.440 2.223
0.511 -4.060 -4.586
2.539 -7.663 8.449
ATOMIC_POSITIONS crystal
Tb 0.334 0.666 0.000
Er 0.408 0.080 0.244
Er 0.592 0.920 0.756
Er 0.247 0.247 0.755
Tb 0.666 0.334 0.000
Er 0.753 0.753 0.245
Pr 0.168 0.832 0.500
Er 0.920 0.592 0.756
Pr 0.832 0.168 0.500
Pr 0.500 0.500 0.500
Pb 0.000 0.000 0.000
Er 0.080 0.408 0.244
```


3.
# Mg8Pb2Au

Mg8Pb2Au after structural relaxation (PBE-GGA, Alexandria via LeMat-Bulk). Values from VASP.

## Properties
DFT formation energy = -0.144 eV per atom
crystal system = orthorhombic
space group = Immm, No. 71

The structure in Quantum ESPRESSO input format:
```
&SYSTEM
  ibrav = 0, nat = 11, ntyp = 3
/
ATOMIC_SPECIES
Mg 24.30 Mg.upf
Pb 207.20 Pb.upf
Au 196.97 Au.upf
CELL_PARAMETERS angstrom
4.762 0.000 -1.449
-1.002 5.798 -3.293
0.047 1.030 8.703
ATOMIC_POSITIONS crystal
Mg 0.183 0.183 0.366
Mg 0.633 0.878 0.266
Pb 0.819 0.319 0.638
Mg 0.817 0.817 0.634
Mg 0.000 0.767 0.000
Mg 0.367 0.612 0.734
Mg 0.633 0.388 0.266
Au 0.500 0.000 0.000
Mg 0.000 0.233 0.000
Pb 0.181 0.681 0.362
Mg 0.367 0.122 0.734
```


4.
# Tm4AgBiS8

Tm4AgBiS8 after structural relaxation (PBE-GGA, Alexandria via LeMat-Bulk). Values from VASP.

## Properties
crystal system = trigonal
energy = -0.2075 hartree per atom
space group = R3m, No. 160

The structure in Quantum ESPRESSO input format:
```
&SYSTEM
  ibrav = 0, nat = 14, ntyp = 4
/
ATOMIC_SPECIES
Ag 107.87 Ag.upf
S 32.06 S.upf
Tm 168.93 Tm.upf
Bi 208.98 Bi.upf
CELL_PARAMETERS angstrom
-1.672 -4.255 -6.494
5.873 -2.537 -4.707
1.829 -7.826 -0.200
ATOMIC_POSITIONS crystal
Ag 0.369 0.369 0.892
S 0.770 0.249 0.732
Tm 0.004 0.004 0.502
Tm 0.491 0.004 0.502
S 0.240 0.240 0.281
S 0.249 0.249 0.732
S 0.758 0.758 0.725
Bi 0.009 0.009 0.973
S 0.751 0.751 0.269
S 0.230 0.751 0.269
Tm 0.626 0.626 0.122
S 0.751 0.230 0.269
S 0.249 0.770 0.732
Tm 0.004 0.491 0.502
```


5.
# Cr2ReCl

Cr2ReCl after structural relaxation (PBE-GGA, Alexandria via LeMat-Bulk). Values from VASP.

## Properties
E above lowest polymorph = 0.852 eV/atom
crystal system = cubic
space group = Fm-3m, No. 225

The structure in Quantum ESPRESSO input format:
```
&SYSTEM
  ibrav = 0, nat = 4, ntyp = 3
/
ATOMIC_SPECIES
Cr 52.00 Cr.upf
Cl 35.45 Cl.upf
Re 186.21 Re.upf
CELL_PARAMETERS angstrom
0.000 3.140 3.140
3.140 0.000 3.140
3.140 3.140 0.000
ATOMIC_POSITIONS crystal
Cr 0.250 0.250 0.250
Cr 0.750 0.750 0.750
Cl 0.000 0.000 0.000
Re 0.500 0.500 0.500
```


6.
# ReHg2Sb

ReHg2Sb after structural relaxation (PBE-GGA, Alexandria via LeMat-Bulk). Values from VASP.

## Properties
crystal system = trigonal
energy = -0.1273 hartree per atom
space group = R-3m, No. 166

The structure in Quantum ESPRESSO input format:
```
&SYSTEM
  ibrav = 0, nat = 4, ntyp = 3
/
ATOMIC_SPECIES
Hg 200.59 Hg.upf
Sb 121.76 Sb.upf
Re 186.21 Re.upf
CELL_PARAMETERS angstrom
10.600 -0.044 -0.026
10.169 2.992 -0.026
10.169 1.443 2.621
ATOMIC_POSITIONS crystal
Hg 0.991 0.991 0.991
Sb 0.750 0.750 0.750
Hg 0.509 0.509 0.509
Re 0.250 0.250 0.250
```